The following is a GGA-PBE calculation of a geometry-optimized SmGaPb structure, from Alexandria via LeMat-Bulk. Values from VASP.

The structure in Quantum ESPRESSO input format:
```
&SYSTEM
  ibrav = 0, nat = 3, ntyp = 3
/
ATOMIC_SPECIES
Pb 207.20 Pb.upf
Ga 69.72 Ga.upf
Sm 150.36 Sm.upf
CELL_PARAMETERS angstrom
4.518 0.000 0.000
0.000 4.526 0.000
0.000 -2.263 3.920
ATOMIC_POSITIONS angstrom
Pb 1.228 0.000 2.613
Ga 0.110 0.000 0.000
Sm 3.180 2.263 1.307
```

Calculated values
D(E_F) in states/eV/f.u.: 0.4
Energy of formation from the pure elements in meV per atom: -444.5
SG: P3m1 (156)
E in eV/atom: -4.263
Theoretical density in g/cm³: 8.85
Energy above the lowest structure with this stoichiometry in meV per atom: 0.0

The following is a GGA-PBE calculation of a geometry-optimized Sm3GaPb2 structure, from Alexandria via LeMat-Bulk. Values from VASP.

The structure in Quantum ESPRESSO input format:
```
&SYSTEM
  ibrav = 0, nat = 24, ntyp = 3
/
ATOMIC_SPECIES
Sm 150.36 Sm.upf
Ga 69.72 Ga.upf
Pb 207.20 Pb.upf
CELL_PARAMETERS angstrom
4.530 0.000 0.000
0.000 12.221 0.000
0.000 0.000 12.688
ATOMIC_POSITIONS angstrom
Sm 1.133 4.619 0.677
Sm 3.398 7.603 12.011
Sm 3.398 10.730 5.667
Sm 1.133 1.492 7.021
Sm 1.133 8.632 2.875
Sm 3.398 3.590 9.813
Sm 3.398 2.521 3.469
Sm 1.133 9.701 9.219
Sm 1.133 5.455 4.790
Sm 3.398 6.767 7.898
Sm 3.398 11.565 1.554
Sm 1.133 0.656 11.134
Ga 1.133 1.629 1.639
Ga 3.398 10.592 11.049
Ga 3.398 7.740 4.705
Ga 1.133 4.482 7.983
Pb 1.133 8.485 6.333
Pb 3.398 3.737 6.355
Pb 3.398 2.374 0.011
Pb 1.133 9.847 12.677
Pb 1.133 12.170 3.980
Pb 3.398 0.051 8.708
Pb 3.398 6.060 2.364
Pb 1.133 6.162 10.324
```

Calculated values
D(E_F) in states/eV/f.u.: 3.9
Energy of formation from the pure elements in meV per atom: -516.5
SG: Pnma (62)
E in eV/atom: -4.617
Theoretical density in g/cm³: 8.84

The following is a GGA-PBE calculation of a geometry-optimized SrSmGaPb structure, from Alexandria via LeMat-Bulk. Values from VASP.

The structure in Quantum ESPRESSO input format:
```
&SYSTEM
  ibrav = 0, nat = 4, ntyp = 4
/
ATOMIC_SPECIES
Pb 207.20 Pb.upf
Sr 87.62 Sr.upf
Ga 69.72 Ga.upf
Sm 150.36 Sm.upf
CELL_PARAMETERS angstrom
5.518 0.000 0.000
2.759 4.779 0.000
2.759 1.593 4.505
ATOMIC_POSITIONS angstrom
Pb 8.277 4.779 3.379
Sr 5.518 3.186 2.253
Ga 2.759 1.593 1.126
Sm 0.000 0.000 0.000
```

Calculated values
D(E_F) in states/eV/f.u.: 2.5
Energy of formation from the pure elements in meV per atom: -397.4
SG: F-43m (216)
E in eV/atom: -3.681
Theoretical density in g/cm³: 7.20

The following is a GGA-PBE calculation of a geometry-optimized TbSmGaPb structure, from Alexandria via LeMat-Bulk. Values from VASP.

The structure in Quantum ESPRESSO input format:
```
&SYSTEM
  ibrav = 0, nat = 4, ntyp = 4
/
ATOMIC_SPECIES
Pb 207.20 Pb.upf
Tb 158.93 Tb.upf
Ga 69.72 Ga.upf
Sm 150.36 Sm.upf
CELL_PARAMETERS angstrom
-2.174 2.463 -4.195
-4.457 -1.919 -2.201
-4.594 2.644 0.549
ATOMIC_POSITIONS angstrom
Pb -5.613 1.594 -2.924
Tb -8.419 2.391 -4.386
Ga 0.000 0.000 0.000
Sm -2.806 0.797 -1.462
```

Calculated values
D(E_F) in states/eV/f.u.: 2.4
Energy of formation from the pure elements in meV per atom: -448.0
SG: F-43m (216)
E in eV/atom: -4.469
Theoretical density in g/cm³: 9.10

The following is a GGA-PBE calculation of a geometry-optimized Sm2GaTe6Pb3 structure, from Alexandria via LeMat-Bulk. Values from VASP.

The structure in Quantum ESPRESSO input format:
```
&SYSTEM
  ibrav = 0, nat = 12, ntyp = 4
/
ATOMIC_SPECIES
Sm 150.36 Sm.upf
Ga 69.72 Ga.upf
Te 127.60 Te.upf
Pb 207.20 Pb.upf
CELL_PARAMETERS angstrom
-4.503 0.188 0.173
0.173 -3.666 8.515
2.721 9.733 1.482
ATOMIC_POSITIONS angstrom
Sm -1.826 4.234 6.702
Sm 0.217 2.020 3.467
Ga -2.251 0.094 0.086
Te 0.467 3.227 8.679
Te -1.990 1.270 5.629
Te -2.075 3.027 1.490
Te 0.048 -0.789 2.117
Te -1.657 7.044 8.052
Te 0.382 4.985 4.540
Pb -2.165 -1.739 4.344
Pb -1.906 6.227 2.441
Pb 0.297 0.027 7.727
```

Calculated values
Raw formation energy in meV per atom: -703
D(E_F) in states/eV/f.u.: 4.6
SG: C2/m (12)
E in eV/atom: -4.239
Theoretical density in g/cm³: 7.23

The following is a GGA-PBE calculation of a geometry-optimized Sm6Ga2Te3Pb structure, from Alexandria via LeMat-Bulk. Values from VASP.

The structure in Quantum ESPRESSO input format:
```
&SYSTEM
  ibrav = 0, nat = 12, ntyp = 4
/
ATOMIC_SPECIES
Sm 150.36 Sm.upf
Ga 69.72 Ga.upf
Te 127.60 Te.upf
Pb 207.20 Pb.upf
CELL_PARAMETERS angstrom
4.317 0.000 0.000
0.000 9.026 -0.063
-2.158 -3.001 9.346
ATOMIC_POSITIONS angstrom
Sm 0.000 6.138 6.129
Sm 2.158 4.229 3.121
Sm 2.158 -0.113 3.155
Sm 0.000 2.254 0.100
Sm 2.158 3.771 9.184
Sm 0.000 1.796 6.163
Ga 2.158 3.953 6.122
Ga 0.000 2.072 3.161
Te 2.158 4.513 -0.031
Te 2.158 -0.544 6.277
Te 0.000 6.568 3.006
Pb 2.158 0.000 0.000
```

Calculated values
Raw formation energy in meV per atom: -967
D(E_F) in states/eV/f.u.: 6.4
SG: C2/m (12)
E in eV/atom: -4.925
Theoretical density in g/cm³: 7.46

The following is a GGA-PBE calculation of a geometry-optimized Ga3Sn3Pb structure, from Alexandria via LeMat-Bulk. Values from VASP.

The structure in Quantum ESPRESSO input format:
```
&SYSTEM
  ibrav = 0, nat = 14, ntyp = 3
/
ATOMIC_SPECIES
Pb 207.20 Pb.upf
Sn 118.71 Sn.upf
Ga 69.72 Ga.upf
CELL_PARAMETERS angstrom
-6.753 0.993 3.352
-2.032 -7.048 -2.005
2.845 -2.676 6.524
ATOMIC_POSITIONS angstrom
Pb -2.970 -4.365 3.936
Pb 0.000 0.000 0.000
Sn -0.266 -1.090 4.100
Sn -0.305 -4.193 0.629
Sn -4.900 -4.789 0.172
Sn -3.642 -0.593 5.776
Sn 1.118 -5.531 3.891
Sn -3.884 -1.265 1.175
Ga 0.914 -3.100 2.761
Ga -0.101 -6.624 1.758
Ga -1.243 -1.511 6.569
Ga -6.080 -2.779 1.511
Ga -2.665 -0.172 3.307
Ga -2.704 -3.276 -0.165
```

Calculated values
D(E_F) in states/eV/f.u.: 4.3
Energy of formation from the pure elements in meV per atom: 310.9
SG: Pm-3n (223)
E in eV/atom: -3.232
Theoretical density in g/cm³: 5.84

The following is a GGA-PBE calculation of a geometry-optimized GaSn3Pb4 structure, from Alexandria via LeMat-Bulk. Values from VASP.

The structure in Quantum ESPRESSO input format:
```
&SYSTEM
  ibrav = 0, nat = 8, ntyp = 3
/
ATOMIC_SPECIES
Pb 207.20 Pb.upf
Sn 118.71 Sn.upf
Ga 69.72 Ga.upf
CELL_PARAMETERS angstrom
-2.463 -1.056 -2.319
2.871 0.966 -3.489
5.015 -13.421 3.470
ATOMIC_POSITIONS angstrom
Pb 4.261 -10.986 0.464
Pb 1.162 -2.525 -2.802
Pb 2.460 -5.851 -2.656
Pb 2.964 -7.660 0.318
Sn -1.231 -0.528 -1.160
Sn 1.626 -4.155 0.187
Sn 3.798 -9.355 -2.525
Ga 1.436 0.483 -1.744
```

Calculated values
D(E_F) in states/eV/f.u.: 4.0
Energy of formation from the pure elements in meV per atom: 71.6
SG: C2/m (12)
E in eV/atom: -3.662
Theoretical density in g/cm³: 8.80

The following is a GGA-PBE calculation of a geometry-optimized Ga12Sn5Pb3 structure, from Alexandria via LeMat-Bulk. Values from VASP.

The structure in Quantum ESPRESSO input format:
```
&SYSTEM
  ibrav = 0, nat = 80, ntyp = 3
/
ATOMIC_SPECIES
Pb 207.20 Pb.upf
Sn 118.71 Sn.upf
Ga 69.72 Ga.upf
CELL_PARAMETERS angstrom
14.337 0.000 0.000
-4.779 13.517 0.000
-4.779 -6.758 11.706
ATOMIC_POSITIONS angstrom
Pb 8.363 4.224 1.463
Pb 8.363 9.293 1.463
Pb -1.195 5.914 7.316
Pb 1.195 -0.845 4.390
Pb 10.753 0.000 2.926
Pb 1.195 6.758 2.926
Pb 3.584 0.000 8.779
Pb -5.974 6.758 8.779
Pb 3.584 7.603 7.316
Pb 5.974 0.845 4.390
Pb -3.584 -2.534 10.243
Pb -3.584 2.534 10.243
Sn -1.195 3.379 2.926
Sn -2.389 6.758 0.000
Sn 0.000 0.000 0.000
Sn 3.584 2.534 1.463
Sn 4.779 -3.379 5.853
Sn 4.779 6.758 0.000
Sn -3.584 7.603 4.390
Sn 5.974 -4.224 10.243
Sn 5.974 5.914 4.390
Sn 1.195 -3.379 8.779
Sn 3.584 10.138 2.926
Sn 2.389 3.379 5.853
Sn 7.168 0.000 0.000
Sn -2.389 -3.379 5.853
Sn -1.195 0.845 7.316
Sn -1.195 10.982 1.463
Sn -4.779 3.379 5.853
Sn 8.363 -0.845 7.316
Sn 1.195 4.224 10.243
Sn 5.974 3.379 8.779
Ga 9.490 1.458 0.732
Ga 0.068 4.742 4.957
Ga 10.421 3.048 3.170
Ga 6.305 2.157 1.628
Ga 1.789 5.351 7.803
Ga 9.888 6.667 1.950
Ga -0.863 7.649 4.799
Ga -3.916 11.360 1.628
Ga 0.600 8.166 7.803
Ga 6.838 6.850 1.950
Ga 7.236 3.474 4.224
Ga 7.236 12.059 0.732
Ga -4.179 6.054 6.585
Ga 2.720 5.115 1.054
Ga -4.847 10.043 4.224
Ga 2.457 -2.016 6.749
Ga -0.600 0.703 2.683
Ga 2.720 8.493 0.896
Ga 6.305 10.469 3.170
Ga -0.330 5.024 0.896
Ga -2.990 7.462 9.023
Ga 3.252 5.868 4.799
Ga 6.568 7.463 6.585
Ga 5.109 -1.643 10.652
Ga 1.526 0.890 6.907
Ga -1.789 -0.704 5.121
Ga -0.330 8.402 1.054
Ga -1.526 -3.711 8.536
Ga 7.769 -0.703 2.683
Ga 5.109 1.735 10.810
Ga 2.059 -1.735 10.810
Ga 2.322 8.775 4.957
Ga 5.379 6.055 9.023
Ga 9.626 -3.285 7.481
Ga 8.958 0.704 5.121
Ga -2.457 -5.301 10.974
Ga 2.059 1.643 10.652
Ga 4.179 -1.408 3.903
Ga -2.059 -0.091 9.756
Ga -2.457 3.285 7.481
Ga 8.695 -4.601 10.077
Ga 5.642 -0.890 6.907
Ga -1.526 4.601 10.077
Ga -5.109 0.091 9.756
Ga 2.990 1.408 3.903
Ga -5.642 3.711 8.536
Ga 4.711 2.016 6.749
Ga -4.711 5.301 10.974
```

Calculated values
D(E_F) in states/eV/f.u.: 9.4
Energy of formation from the pure elements in meV per atom: 200.7
SG: Ia-3d (230)
E in eV/atom: -3.172
Theoretical density in g/cm³: 6.01

The following is a GGA-PBE calculation of a geometry-optimized Ga6SnPb structure, from Alexandria via LeMat-Bulk. Values from VASP.

The structure in Quantum ESPRESSO input format:
```
&SYSTEM
  ibrav = 0, nat = 8, ntyp = 3
/
ATOMIC_SPECIES
Ga 69.72 Ga.upf
Sn 118.71 Sn.upf
Pb 207.20 Pb.upf
CELL_PARAMETERS angstrom
4.016 0.000 0.000
0.000 7.418 0.000
0.000 0.000 5.929
ATOMIC_POSITIONS angstrom
Ga 2.008 6.470 1.352
Ga 0.000 1.025 4.279
Ga 0.000 1.025 1.650
Ga 2.008 6.470 4.576
Ga 0.000 5.489 2.964
Ga 2.008 1.822 0.000
Sn 2.008 3.135 2.964
Pb 0.000 4.235 0.000
```

Calculated values
D(E_F) in states/eV/f.u.: 3.7
Energy of formation from the pure elements in meV per atom: 46.7
SG: Pmm2 (25)
E in eV/atom: -3.187
Theoretical density in g/cm³: 7.00
Energy above the lowest structure with this stoichiometry in meV per atom: 0.0

The following is a GGA-PBE calculation of a geometry-optimized GaSn2Pb2 structure, from Alexandria via LeMat-Bulk. Values from VASP.

The structure in Quantum ESPRESSO input format:
```
&SYSTEM
  ibrav = 0, nat = 10, ntyp = 3
/
ATOMIC_SPECIES
Pb 207.20 Pb.upf
Sn 118.71 Sn.upf
Ga 69.72 Ga.upf
CELL_PARAMETERS angstrom
-4.609 2.999 -4.870
0.033 -6.241 -3.874
-4.229 -1.813 2.885
ATOMIC_POSITIONS angstrom
Pb -2.947 -4.629 -2.117
Pb -5.247 -3.934 -5.051
Pb -5.858 -0.427 -3.742
Pb -3.558 -1.122 -0.808
Sn -1.621 -4.281 -5.067
Sn -3.933 -1.434 -6.666
Sn -2.954 1.039 -3.677
Sn -0.643 -1.808 -2.078
Ga 0.000 0.000 0.000
Ga -2.288 -1.621 -4.372
```

Calculated values
D(E_F) in states/eV/f.u.: 2.9
Energy of formation from the pure elements in meV per atom: 100.1
SG: P4/mbm (127)
E in eV/atom: -3.590
Theoretical density in g/cm³: 8.18
Energy above the lowest structure with this stoichiometry in meV per atom: 48.5

The following is a GGA-PBE calculation of a geometry-optimized Ga2Sn2Pb structure, from Alexandria via LeMat-Bulk. Values from VASP.

The structure in Quantum ESPRESSO input format:
```
&SYSTEM
  ibrav = 0, nat = 10, ntyp = 3
/
ATOMIC_SPECIES
Ga 69.72 Ga.upf
Sn 118.71 Sn.upf
Pb 207.20 Pb.upf
CELL_PARAMETERS angstrom
-1.391 -3.598 1.682
2.620 -3.557 -5.444
6.215 3.456 7.270
ATOMIC_POSITIONS angstrom
Ga 3.710 -1.290 0.311
Ga 5.045 -4.189 0.476
Ga 3.735 -2.410 3.198
Ga 2.400 0.490 3.032
Sn 6.320 -1.664 1.668
Sn 5.009 0.114 4.390
Sn 1.125 -2.036 1.841
Sn 2.435 -3.814 -0.881
Pb -0.736 -4.487 0.320
Pb 1.965 -2.669 -4.082
```

Calculated values
D(E_F) in states/eV/f.u.: 2.0
Energy of formation from the pure elements in meV per atom: 44.4
SG: C2/m (12)
E in eV/atom: -3.509
Theoretical density in g/cm³: 7.68
Energy above the lowest structure with this stoichiometry in meV per atom: 0.0

Copy entry 10 word for word.
The following is a GGA-PBE calculation of a geometry-optimized Ga6SnPb structure, from Alexandria via LeMat-Bulk. Values from VASP.

The structure in Quantum ESPRESSO input format:
```
&SYSTEM
  ibrav = 0, nat = 8, ntyp = 3
/
ATOMIC_SPECIES
Ga 69.72 Ga.upf
Sn 118.71 Sn.upf
Pb 207.20 Pb.upf
CELL_PARAMETERS angstrom
4.016 0.000 0.000
0.000 7.418 0.000
0.000 0.000 5.929
ATOMIC_POSITIONS angstrom
Ga 2.008 6.470 1.352
Ga 0.000 1.025 4.279
Ga 0.000 1.025 1.650
Ga 2.008 6.470 4.576
Ga 0.000 5.489 2.964
Ga 2.008 1.822 0.000
Sn 2.008 3.135 2.964
Pb 0.000 4.235 0.000
```

Calculated values
D(E_F) in states/eV/f.u.: 3.7
Energy of formation from the pure elements in meV per atom: 46.7
SG: Pmm2 (25)
E in eV/atom: -3.187
Theoretical density in g/cm³: 7.00
Energy above the lowest structure with this stoichiometry in meV per atom: 0.0

What is the E in the ninth record?
-3.172 eV/atom

Which value of E does entry 6 give?
-4.925 eV/atom